Material: Ce2Pr2Sn3
Method: DFT, PBE
State: optimized geometry

Results
Its formation energy is -238 kJ/mol of formula units. Its spin magnetization is 2.02 μB/cell. Its space-group type is C2/m (12).

abc: 4.571 7.493 7.869
angles: 99.46 90.00 107.77
Last column: magnetic moment on the atom in μB.
Positions (direct):
Ce1 0.625 0.250 0.875  0.59
Ce2 0.375 0.750 0.125  0.59
Pr1 0.876 0.752 0.623  0.07
Pr2 0.124 0.248 0.377  0.07
Sn1 0.000 0.000 0.000  -0.03
Sn2 0.750 0.501 0.248  -0.02
Sn3 0.250 0.499 0.752  -0.02